Density functional theory data (GGA-PBE) for a relaxed SrIn3Ag crystal.

## Properties
Calculated formation energy in eV per atom: -0.02
DFT total energy in eV/cell: -12.87
Spin magnetization in μB per cell: 0.000

Cell lengths 5.402, 5.402, 5.402 Å; angles 90.00, 90.00, 90.00 degrees
Element x y z (fractional)
Sr 0.000 0.000 0.000
In 0.000 0.500 0.500
In 0.500 0.000 0.500
In 0.500 0.500 0.000
Ag 0.500 0.500 0.500